Material: Na3HCl2
Method: DFT, PBE
State: optimized geometry

Uncorrected energy in eV per cell: -18.41

The structure in extended XYZ format:
```
6
Lattice="3.829 0.000 0.000 0.000 5.547 0.000 -1.915 -2.774 5.801" Properties=species:S:1:pos:R:3 pbc="T T T"
Na 0.957 -1.387 2.900
Na -0.957 1.387 4.613
Na 2.872 1.387 1.187
H 0.957 1.387 2.900
Cl -0.957 -1.387 4.856
Cl 2.872 4.161 0.945
```

Material: NaHCl2
Method: DFT, PBE
State: optimized geometry

Uncorrected energy in eV per cell: -8.79
Distance to the lowest polymorph of the same formula in meV/atom: 1048

The structure in extended XYZ format:
```
4
Lattice="-6.234 0.330 4.496 -3.878 -1.592 6.451 -3.696 2.018 6.439" Properties=species:S:1:pos:R:3 pbc="T T T"
Na 0.000 0.000 0.000
Cl -12.275 0.672 15.456
Cl -1.532 0.084 1.929
H -6.904 0.378 8.693
```

Material: Na2HCl
Method: DFT, PBE
State: optimized geometry

Uncorrected energy in eV per cell: -11.69
Distance to the lowest polymorph of the same formula in meV/atom: 0

The structure in extended XYZ format:
```
4
Lattice="-2.642 -0.504 2.633 -2.023 -3.174 0.053 2.619 -3.825 4.586" Properties=species:S:1:pos:R:3 pbc="T T T"
Na -0.633 -1.800 1.711
Na -1.413 -5.703 5.561
Cl -1.023 -3.751 3.636
H 0.000 0.000 0.000
```

Material: Na2HCl
Method: DFT, PBE
State: optimized geometry

Uncorrected energy in eV per cell: -11.50
Distance to the lowest polymorph of the same formula in meV/atom: 49

The structure in extended XYZ format:
```
4
Lattice="-2.028 -3.256 -1.561 4.111 0.274 -0.419 0.794 -3.218 5.680" Properties=species:S:1:pos:R:3 pbc="T T T"
Na 0.741 -5.009 3.991
Na 0.268 -1.087 1.918
H 0.002 -0.007 0.012
Cl 0.415 -3.688 1.658
```